# Cs5Sn2Pb4 | the Alexandria database | PBE-GGA | relaxed
# - electronic total energy (eV per formula unit) = -27.6
# - crystal system = monoclinic
# - density (Mg/m³) = 5.2
data_Cs5Sn2Pb4
_chemical_formula_sum 'Cs10 Sn4 Pb8'
_space_group_name_H-M_alt 'C 1 2/m 1'
_space_group_IT_number 12
_space_group_name_Hall '-C 2y'
_cell_length_a 26.169
_cell_length_b 4.266
_cell_length_c 10.861
_cell_angle_alpha 90.00
_cell_angle_beta 114.50
_cell_angle_gamma 90.00
loop_
_atom_site_label
_atom_site_type_symbol
_atom_site_fract_x
_atom_site_fract_y
_atom_site_fract_z
Cs1 Cs 0.000 0.000 0.000
Cs2 Cs 0.160 0.500 0.378
Cs3 Cs 0.160 0.500 0.942
Sn1 Sn 0.080 0.000 0.580
Pb1 Pb 0.000 0.500 0.353
Pb2 Pb 0.205 0.000 0.705

---

# CsSnPb4 | the Alexandria database | PBE-GGA | relaxed
# - electronic total energy (eV per formula unit) = -19.2
# - crystal system = cubic
# - E above lowest polymorph (meV per atom) = 117
# - density (Mg/m³) = 8.4
data_CsSnPb4
_chemical_formula_sum 'Cs4 Sn4 Pb16'
_space_group_name_H-M_alt 'F -4 3 m'
_space_group_IT_number 216
_space_group_name_Hall 'F -4 2 3'
_cell_length_a 9.505
_cell_length_b 9.505
_cell_length_c 9.505
_cell_angle_alpha 90.00
_cell_angle_beta 90.00
_cell_angle_gamma 90.00
loop_
_atom_site_label
_atom_site_type_symbol
_atom_site_fract_x
_atom_site_fract_y
_atom_site_fract_z
Cs1 Cs 0.000 0.000 0.000
Sn1 Sn 0.250 0.250 0.750
Pb1 Pb 0.125 0.125 0.375

---

# Cs3SnPb | the Alexandria database | PBE-GGA | relaxed
# - electronic total energy (eV per formula unit) = -10.6
# - crystal system = monoclinic
# - E above lowest polymorph (meV per atom) = 0
# - density (Mg/m³) = 4.1
data_Cs3SnPb
_chemical_formula_sum 'Cs12 Sn4 Pb4'
_space_group_name_H-M_alt 'C 1 2/m 1'
_space_group_IT_number 12
_space_group_name_Hall '-C 2y'
_cell_length_a 13.473
_cell_length_b 11.929
_cell_length_c 9.536
_cell_angle_alpha 90.00
_cell_angle_beta 130.52
_cell_angle_gamma 90.00
loop_
_atom_site_label
_atom_site_type_symbol
_atom_site_fract_x
_atom_site_fract_y
_atom_site_fract_z
Cs1 Cs 0.074 0.000 0.359
Cs2 Cs 0.208 0.319 0.753
Sn1 Sn 0.064 0.500 0.273
Pb1 Pb 0.197 0.500 0.112

---

# CsSn4Pb4 | the Alexandria database | PBE-GGA | relaxed
# - electronic total energy (eV per formula unit) = -31.6
# - crystal system = tetragonal
# - density (Mg/m³) = 7.3
data_CsSn4Pb4
_chemical_formula_sum 'Cs2 Sn8 Pb8'
_space_group_name_H-M_alt 'P 42/n m c'
_space_group_IT_number 137
_cell_length_a 7.911
_cell_length_b 7.911
_cell_length_c 10.406
_cell_angle_alpha 90.00
_cell_angle_beta 90.00
_cell_angle_gamma 90.00
loop_
_space_group_symop_operation_xyz
'x,y,z'
'-x,-y,-z'
'-y+1/2,x,z+1/2'
'y+1/2,-x,-z+1/2'
'-x+1/2,-y+1/2,z'
'x+1/2,y+1/2,-z'
'y,-x+1/2,z+1/2'
'-y,x+1/2,-z+1/2'
'x+1/2,-y,-z'
'-x+1/2,y,z'
'-y,-x,-z+1/2'
'y,x,z+1/2'
'-x,y+1/2,-z'
'x,-y+1/2,z'
'y+1/2,x+1/2,-z+1/2'
'-y+1/2,-x+1/2,z+1/2'
loop_
_atom_site_label
_atom_site_type_symbol
_atom_site_fract_x
_atom_site_fract_y
_atom_site_fract_z
Cs1 Cs 0.250 0.750 0.250
Sn1 Sn 0.055 0.250 0.074
Pb1 Pb 0.012 0.250 0.373

---

# CsSnPb | the Alexandria database | PBE-GGA | relaxed
# - electronic total energy (eV per formula unit) = -9.2
# - crystal system = monoclinic
# - E above lowest polymorph (meV per atom) = 0
# - density (Mg/m³) = 5.9
data_CsSnPb
_chemical_formula_sum 'Cs4 Sn4 Pb4'
_space_group_name_H-M_alt 'C 1 2/m 1'
_space_group_IT_number 12
_space_group_name_Hall '-C 2y'
_cell_length_a 7.576
_cell_length_b 7.583
_cell_length_c 8.947
_cell_angle_alpha 90.00
_cell_angle_beta 90.06
_cell_angle_gamma 90.00
loop_
_atom_site_label
_atom_site_type_symbol
_atom_site_fract_x
_atom_site_fract_y
_atom_site_fract_z
Cs1 Cs 0.250 0.000 0.163
Sn1 Sn 0.250 0.000 0.691
Pb1 Pb 0.000 0.250 0.500

---

# Cs2SnPb | the Alexandria database | PBE-GGA | relaxed
# - electronic total energy (eV per formula unit) = -10.0
# - crystal system = monoclinic
# - E above lowest polymorph (meV per atom) = 0
# - density (Mg/m³) = 4.6
data_Cs2SnPb
_chemical_formula_sum 'Cs4 Sn2 Pb2'
_space_group_name_H-M_alt 'C 1 2 1'
_space_group_IT_number 5
_space_group_name_Hall 'C 2y'
_cell_length_a 12.627
_cell_length_b 7.660
_cell_length_c 4.768
_cell_angle_alpha 90.00
_cell_angle_beta 112.02
_cell_angle_gamma 90.00
loop_
_atom_site_label
_atom_site_type_symbol
_atom_site_fract_x
_atom_site_fract_y
_atom_site_fract_z
Cs1 Cs 0.182 0.000 0.181
Sn1 Sn 0.000 0.701 0.500
Pb1 Pb 0.000 0.472 0.000

---

# Cs3Sn3Pb8 | the Alexandria database | PBE-GGA | relaxed
# - electronic total energy (eV per formula unit) = -45.6
# - crystal system = monoclinic
# - E above lowest polymorph (meV per atom) = 0
# - density (Mg/m³) = 7.8
data_Cs3Sn3Pb8
_chemical_formula_sum 'Cs6 Sn6 Pb16'
_space_group_name_H-M_alt 'C 1 2/m 1'
_space_group_IT_number 12
_space_group_name_Hall '-C 2y'
_cell_length_a 19.539
_cell_length_b 5.524
_cell_length_c 12.019
_cell_angle_alpha 90.00
_cell_angle_beta 127.75
_cell_angle_gamma 90.00
loop_
_atom_site_label
_atom_site_type_symbol
_atom_site_fract_x
_atom_site_fract_y
_atom_site_fract_z
Cs1 Cs 0.000 0.000 0.000
Cs2 Cs 0.206 0.500 0.706
Sn1 Sn 0.000 0.000 0.500
Sn2 Sn 0.148 0.500 0.291
Pb1 Pb 0.000 0.500 0.322
Pb2 Pb 0.146 0.000 0.864
Pb3 Pb 0.151 0.500 0.016
Pb4 Pb 0.153 0.000 0.433

---

# CsSn2Pb3 | the Alexandria database | PBE-GGA | relaxed
# - electronic total energy (eV per formula unit) = -20.2
# - crystal system = orthorhombic
# - E above lowest polymorph (meV per atom) = 0
# - density (Mg/m³) = 7.1
data_CsSn2Pb3
_chemical_formula_sum 'Cs4 Sn8 Pb12'
_space_group_name_H-M_alt 'C m c m'
_space_group_IT_number 63
_space_group_name_Hall '-C 2c 2'
_cell_length_a 13.236
_cell_length_b 11.122
_cell_length_c 6.336
_cell_angle_alpha 90.00
_cell_angle_beta 90.00
_cell_angle_gamma 90.00
loop_
_atom_site_label
_atom_site_type_symbol
_atom_site_fract_x
_atom_site_fract_y
_atom_site_fract_z
Cs1 Cs 0.000 0.168 0.250
Sn1 Sn 0.228 0.500 0.000
Pb1 Pb 0.000 0.436 0.750
Pb2 Pb 0.194 0.241 0.750

---

# CsSn2Pb | the Alexandria database | PBE-GGA | relaxed
# - electronic total energy (eV per formula unit) = -12.6
# - crystal system = trigonal
# - density (Mg/m³) = 5.7
data_CsSn2Pb
_chemical_formula_sum 'Cs3 Sn6 Pb3'
_space_group_name_H-M_alt 'R -3 m'
_space_group_IT_number 166
_space_group_name_Hall '-R 3 2"'
_cell_length_a 5.2735
_cell_length_b 5.2735
_cell_length_c 21.0415
_cell_angle_alpha 90.00
_cell_angle_beta 90.00
_cell_angle_gamma 120.00
loop_
_atom_site_label
_atom_site_type_symbol
_atom_site_fract_x
_atom_site_fract_y
_atom_site_fract_z
Cs1 Cs 0.0000 0.0000 0.0000
Sn1 Sn 0.0000 0.0000 0.2069
Pb1 Pb 0.0000 0.0000 0.5000

---

# Cs2SnPb2 | the Alexandria database | PBE-GGA | relaxed
# - electronic total energy (eV per formula unit) = -13.9
# - crystal system = monoclinic
# - E above lowest polymorph (meV per atom) = 0
# - density (Mg/m³) = 5.8
data_Cs2SnPb2
_chemical_formula_sum 'Cs8 Sn4 Pb8'
_space_group_name_H-M_alt 'C 1 2/m 1'
_space_group_IT_number 12
_space_group_name_Hall '-C 2y'
_cell_length_a 14.728
_cell_length_b 5.500
_cell_length_c 13.176
_cell_angle_alpha 90.00
_cell_angle_beta 120.82
_cell_angle_gamma 90.00
loop_
_atom_site_label
_atom_site_type_symbol
_atom_site_fract_x
_atom_site_fract_y
_atom_site_fract_z
Cs1 Cs 0.008 0.000 0.167
Cs2 Cs 0.201 0.000 0.614
Sn1 Sn 0.200 0.500 0.832
Pb1 Pb 0.015 0.500 0.395
Pb2 Pb 0.185 0.500 0.055

---

# Cs17SnPb11 | the Alexandria database | PBE-GGA | relaxed
# - electronic total energy (eV per formula unit) = -62.8
# - crystal system = monoclinic
# - density (Mg/m³) = 5.3
data_Cs17SnPb11
_chemical_formula_sum 'Cs34 Sn2 Pb22'
_space_group_name_H-M_alt 'C 1 m 1'
_space_group_IT_number 8
_space_group_name_Hall 'C -2y'
_cell_length_a 14.324
_cell_length_b 20.206
_cell_length_c 12.410
_cell_angle_alpha 90.00
_cell_angle_beta 125.11
_cell_angle_gamma 90.00
loop_
_atom_site_label
_atom_site_type_symbol
_atom_site_fract_x
_atom_site_fract_y
_atom_site_fract_z
Cs1 Cs 0.000 0.000 0.000
Cs2 Cs 0.000 0.000 0.307
Cs3 Cs 0.015 0.275 0.596
Cs4 Cs 0.051 0.500 0.570
Cs5 Cs 0.080 0.373 0.306
Cs6 Cs 0.225 0.224 0.017
Cs7 Cs 0.293 0.000 0.047
Cs8 Cs 0.306 0.000 0.614
Cs9 Cs 0.346 0.348 0.306
Cs10 Cs 0.354 0.354 0.757
Cs11 Cs 0.408 0.145 0.860
Sn1 Sn 0.128 0.500 0.082
Pb1 Pb 0.031 0.186 0.153
Pb2 Pb 0.079 0.078 0.680
Pb3 Pb 0.185 0.185 0.463
Pb4 Pb 0.208 0.422 0.938
Pb5 Pb 0.263 0.107 0.307
Pb6 Pb 0.347 0.500 0.526

---

# CsSr2SnPb | the Alexandria database | PBE-GGA | relaxed
# - electronic total energy (eV per formula unit) = -7.5
# - crystal system = tetragonal
# - density (Mg/m³) = 4.4
data_CsSr2SnPb
_chemical_formula_sum 'Cs1 Sr2 Sn1 Pb1'
_space_group_name_H-M_alt 'P 4/m m m'
_space_group_IT_number 123
_space_group_name_Hall '-P 4 2'
_cell_length_a 6.271
_cell_length_b 6.271
_cell_length_c 6.154
_cell_angle_alpha 90.00
_cell_angle_beta 90.00
_cell_angle_gamma 90.00
loop_
_atom_site_label
_atom_site_type_symbol
_atom_site_fract_x
_atom_site_fract_y
_atom_site_fract_z
Cs1 Cs 0.000 0.000 0.000
Sr1 Sr 0.000 0.500 0.000
Sn1 Sn 0.500 0.500 0.500
Pb1 Pb 0.000 0.000 0.500